First-principles (GGA-PBE) data for a relaxed structure of CsInAs2O8, as listed in the Alexandria database.

Summary:
formation energy (no corrections)	-1129	meV per atom
space-group type	R32

Cell and atoms, written as CIF:
```
data_CsInAs2O8
_chemical_formula_sum 'Cs1 In1 As2 O8'
_space_group_name_H-M_alt 'P 1'
_space_group_IT_number 1
_cell_length_a 9.6666
_cell_length_b 9.6666
_cell_length_c 9.6666
_cell_angle_alpha 32.12
_cell_angle_beta 32.12
_cell_angle_gamma 32.12
loop_
_space_group_symop_operation_xyz
'x,y,z'
loop_
_atom_site_label
_atom_site_type_symbol
_atom_site_fract_x
_atom_site_fract_y
_atom_site_fract_z
Cs1 Cs 0.0000 0.0000 0.0000
In1 In 0.5000 0.5000 0.5000
As1 As 0.2329 0.2329 0.2329
As2 As 0.7671 0.7671 0.7671
O1 O 0.1089 0.4944 0.7532
O2 O 0.2468 0.5056 0.8911
O3 O 0.2950 0.2950 0.2950
O4 O 0.4944 0.7532 0.1089
O5 O 0.5056 0.8911 0.2468
O6 O 0.7050 0.7050 0.7050
O7 O 0.7532 0.1089 0.4944
O8 O 0.8911 0.2468 0.5056
```

First-principles (GGA-PBE) data for a relaxed structure of CsRbIn2As2, as listed in the Alexandria database.

Summary:
ΔH_f (0 K)	-0.24	eV/atom
space-group type	P-3m1

Cell and atoms, written as CIF:
```
data_CsRbIn2As2
_chemical_formula_sum 'Cs1 Rb1 In2 As2'
_space_group_name_H-M_alt 'P 1'
_space_group_IT_number 1
_cell_length_a 4.8163
_cell_length_b 4.8163
_cell_length_c 11.3824
_cell_angle_alpha 90.00
_cell_angle_beta 90.00
_cell_angle_gamma 120.00
loop_
_space_group_symop_operation_xyz
'x,y,z'
loop_
_atom_site_label
_atom_site_type_symbol
_atom_site_fract_x
_atom_site_fract_y
_atom_site_fract_z
Cs1 Cs 0.0000 0.0000 0.0000
Rb1 Rb 0.0000 0.0000 0.5000
In1 In 0.3333 0.6667 0.7505
In2 In 0.6667 0.3333 0.2495
As1 As 0.3333 0.6667 0.2641
As2 As 0.6667 0.3333 0.7359
```

First-principles (GGA-PBE) data for a relaxed structure of Cs2Rb4InAs2, as listed in the Alexandria database.

Summary:
ΔH_f (0 K)	-0.18	eV/atom
space-group type	C2/m

Cell and atoms, written as CIF:
```
data_Cs2Rb4InAs2
_chemical_formula_sum 'Cs2 Rb4 In1 As2'
_space_group_name_H-M_alt 'P 1'
_space_group_IT_number 1
_cell_length_a 11.1186
_cell_length_b 11.1186
_cell_length_c 5.0137
_cell_angle_alpha 102.89
_cell_angle_beta 102.89
_cell_angle_gamma 82.20
loop_
_space_group_symop_operation_xyz
'x,y,z'
loop_
_atom_site_label
_atom_site_type_symbol
_atom_site_fract_x
_atom_site_fract_y
_atom_site_fract_z
Cs1 Cs 0.1595 0.1595 0.1595
Cs2 Cs 0.8405 0.8405 0.8405
Rb1 Rb 0.1958 0.5404 0.3678
Rb2 Rb 0.4596 0.8042 0.6322
Rb3 Rb 0.5404 0.1958 0.3678
Rb4 Rb 0.8042 0.4596 0.6322
In1 In 0.5000 0.5000 0.0000
As1 As 0.3427 0.3427 0.8425
As2 As 0.6573 0.6573 0.1575
```